# CaSeBrN2

A relaxed CaSeBrN2 crystal (PBE-GGA, Alexandria via LeMat-Bulk).

Lattice parameters (Å, degrees): 4.6098 4.6098 6.0540 90.00 90.00 90.00
Closest atoms and distances in Å follow each position.
Sites, in units of the cell vectors:
Ca 0.0000 0.0000 0.0000  4 N 2.30
Se 0.0000 0.0000 0.5000  2 Ca 3.03, 4 Br 3.26
Br 0.5000 0.5000 0.5000  4 Se 3.26
N 0.0000 0.5000 0.0000  2 Ca 2.30
N 0.5000 0.0000 0.0000  2 Ca 2.30

Output
Its symmetry is P4/mmm. Its crystal system is tetragonal. The total magnetization comes out at 4.78 μB/cell. The value obtained for the energy above the lowest structure with this stoichiometry is 66 meV per atom. For the total energy, the calculation gives -0.257 Ry per atom.

***

# CaSeBrN2

A relaxed CaSeBrN2 crystal (PBE-GGA, Alexandria via LeMat-Bulk).

Lattice parameters (Å, degrees): 4.2312 4.2312 5.2967 90.00 90.00 90.00
Closest atoms and distances in Å follow each position.
Sites, in units of the cell vectors:
Ca 0.0000 0.0000 0.0000  4 Se 2.99
Se 0.5000 0.5000 0.0000  2 Br 2.65
Br 0.5000 0.5000 0.5000  4 N 2.12
N 0.0000 0.5000 0.5000  2 Br 2.12
N 0.5000 0.0000 0.5000  2 Br 2.12

Output
Its symmetry is P4/mmm. Its crystal system is tetragonal. The total magnetization comes out at 1.84 μB/cell. The value obtained for the energy above the lowest structure with this stoichiometry is 0 meV per atom. For the total energy, the calculation gives -0.262 Ry per atom.

***

# CaSe2BrN

A relaxed CaSe2BrN crystal (PBE-GGA, Alexandria via LeMat-Bulk).

Lattice parameters (Å, degrees): 5.3606 5.3606 4.0480 90.00 90.00 90.00
Closest atoms and distances in Å follow each position.
Sites, in units of the cell vectors:
Ca 0.0000 0.0000 0.0000  8 Se 3.36
Se 0.0000 0.5000 0.5000  2 Br 2.68
Se 0.5000 0.0000 0.5000  2 Br 2.68
Br 0.5000 0.5000 0.5000  2 N 2.02
N 0.5000 0.5000 0.0000  2 Br 2.02

Output
Its symmetry is P4/mmm. Its crystal system is tetragonal. The total magnetization comes out at 1.52 μB/cell. The value obtained for the energy above the lowest structure with this stoichiometry is 514 meV per atom. For the total energy, the calculation gives -0.242 Ry per atom.

***

# CaSe2BrN

A relaxed CaSe2BrN crystal (PBE-GGA, Alexandria via LeMat-Bulk).

Lattice parameters (Å, degrees): 5.8464 5.8464 5.6727 90.00 90.00 90.00
Closest atoms and distances in Å follow each position.
Sites, in units of the cell vectors:
Ca 0.0000 0.0000 0.0000  2 Br 2.84, 4 Se 2.92
Se 0.0000 0.5000 0.0000  2 Ca 2.92
Se 0.5000 0.0000 0.0000  2 Ca 2.92
Br 0.0000 0.0000 0.5000  2 Ca 2.84
N 0.5000 0.5000 0.5000  8 Se 4.07, 4 Br 4.13

Output
Its symmetry is P4/mmm. Its crystal system is tetragonal. The total magnetization comes out at 6.00 μB/cell. The value obtained for the energy above the lowest structure with this stoichiometry is 733 meV per atom. For the total energy, the calculation gives -0.226 Ry per atom.

***

# SrCa3Br2N2

A relaxed SrCa3Br2N2 crystal (PBE-GGA, Alexandria via LeMat-Bulk).

Lattice parameters (Å, degrees): 6.5490 3.7793 7.4145 90.00 107.19 90.00
Closest atoms and distances in Å follow each position.
Sites, in units of the cell vectors:
Sr 0.0000 0.0000 0.0000  3 N 2.59-2.61
Ca 0.4548 0.0000 0.3649  3 N 2.47-2.48
Ca 0.5056 0.5000 0.0221  3 N 2.46-2.48
Ca 0.9544 0.5000 0.3651  3 N 2.52-2.53
Br 0.2339 0.0000 0.6829  5 Ca 3.11-3.23, 1 Sr 3.16
Br 0.7194 0.5000 0.6754  4 Ca 3.08-3.27, 2 Sr 3.18
N 0.2369 0.5000 0.1943  4 Ca 2.46-2.53, 2 Sr 2.59
N 0.7251 0.0000 0.1924  5 Ca 2.47-2.52, 1 Sr 2.61

Output
Its symmetry is Pm. Its crystal system is monoclinic. The total magnetization comes out at 0.15 μB/cell. For the total energy, the calculation gives -0.355 Ry per atom.

***

# SrCaBrN

A relaxed SrCaBrN crystal (PBE-GGA, Alexandria via LeMat-Bulk).

Lattice parameters (Å, degrees): 7.5150 7.5150 7.5150 29.58 29.58 29.58
Closest atoms and distances in Å follow each position.
Sites, in units of the cell vectors:
Sr 0.0000 0.0000 0.0000  3 N 2.60
Ca 0.4525 0.4525 0.4525  3 N 2.52
Br 0.2219 0.2219 0.2219  3 Ca 3.13, 3 Sr 3.27
N 0.7302 0.7302 0.7302  3 Ca 2.52, 3 Sr 2.60

Output
Its symmetry is R3m. Its crystal system is trigonal. The total magnetization comes out at 0.06 μB/cell. For the total energy, the calculation gives -0.349 Ry per atom.

***

# SrCaBrN2

A relaxed SrCaBrN2 crystal (PBE-GGA, Alexandria via LeMat-Bulk).

Lattice parameters (Å, degrees): 4.8588 4.8588 4.8385 90.00 90.00 90.00
Closest atoms and distances in Å follow each position.
Sites, in units of the cell vectors:
Sr 0.0000 0.0000 0.0000  8 N 3.43, 4 Ca 3.44
Ca 0.5000 0.5000 0.0000  2 Br 2.42
Br 0.5000 0.5000 0.5000  2 Ca 2.42, 4 N 2.43
N 0.0000 0.5000 0.5000  2 Br 2.43
N 0.5000 0.0000 0.5000  2 Br 2.43

Output
Its symmetry is P4/mmm. Its crystal system is tetragonal. The total magnetization comes out at 0.00 μB/cell. For the total energy, the calculation gives -0.235 Ry per atom.

***

# Ca2ThBr2N2

A relaxed Ca2ThBr2N2 crystal (PBE-GGA, Alexandria via LeMat-Bulk).

Lattice parameters (Å, degrees): 8.3460 8.3460 8.3460 147.74 147.74 46.27
Closest atoms and distances in Å follow each position.
Sites, in units of the cell vectors:
Ca 0.1006 0.1006 0.0000  4 N 2.79, 1 Ca 3.09
Ca 0.8994 0.8994 0.0000  4 N 2.79, 1 Ca 3.09
Th 0.5000 0.5000 0.0000  4 N 2.32
Br 0.3042 0.3042 0.0000  1 Th 3.01, 1 Ca 3.12
Br 0.6958 0.6958 0.0000  1 Th 3.01, 1 Ca 3.12
N 0.0000 0.5000 0.5000  2 Th 2.32
N 0.5000 0.0000 0.5000  2 Th 2.32

Output
Its symmetry is I4/mmm. Its crystal system is tetragonal. The total magnetization comes out at 0.00 μB/cell. For the total energy, the calculation gives -0.435 Ry per atom.